(1)
# InBi3

InBi3 after structural relaxation (GGA-PBE, Alexandria via LeMat-Bulk).

Values from the calculation:
energy relative to the elements	131	meV/atom
total DFT energy (no corrections)	-3.464	eV per atom

```
data_InBi3
_cell_length_a 5.5868
_cell_length_b 5.5868
_cell_length_c 5.5868
_cell_angle_alpha 60.00
_cell_angle_beta 60.00
_cell_angle_gamma 60.00
_space_group_name_H-M_alt 'P 1'
_space_group_IT_number 1
_space_group_name_Hall 'P 1'
loop_
_atom_site_label
_atom_site_type_symbol
_atom_site_fract_x
_atom_site_fract_y
_atom_site_fract_z
In1 In 0.0000 0.0000 0.0000
Bi1 Bi 0.2500 0.2500 0.2500
Bi2 Bi 0.5000 0.5000 0.5000
Bi3 Bi 0.7500 0.7500 0.7500
```

(2)
# In2Bi

In2Bi after structural relaxation (GGA-PBE, Alexandria via LeMat-Bulk).

Values from the calculation:
energy relative to the elements	34	meV/atom
total DFT energy (no corrections)	-3.086	eV per atom

```
data_In2Bi
_cell_length_a 8.1969
_cell_length_b 8.0558
_cell_length_c 3.4022
_cell_angle_alpha 80.25
_cell_angle_beta 75.60
_cell_angle_gamma 24.15
_space_group_name_H-M_alt 'P 1'
_space_group_IT_number 1
_space_group_name_Hall 'P 1'
loop_
_atom_site_label
_atom_site_type_symbol
_atom_site_fract_x
_atom_site_fract_y
_atom_site_fract_z
In1 In 0.1697 0.1697 0.8303
In2 In 0.8303 0.8303 0.1697
Bi1 Bi 0.5000 0.5000 0.5000
```

(3)
# In8Bi

In8Bi after structural relaxation (GGA-PBE, Alexandria via LeMat-Bulk).

Values from the calculation:
energy relative to the elements	37	meV/atom
total DFT energy (no corrections)	-2.829	eV per atom

```
data_In8Bi
_cell_length_a 8.6118
_cell_length_b 8.6118
_cell_length_c 8.6118
_cell_angle_alpha 92.46
_cell_angle_beta 92.46
_cell_angle_gamma 156.10
_space_group_name_H-M_alt 'P 1'
_space_group_IT_number 1
_space_group_name_Hall 'P 1'
loop_
_atom_site_label
_atom_site_type_symbol
_atom_site_fract_x
_atom_site_fract_y
_atom_site_fract_z
In1 In 0.0000 0.3327 0.3327
In2 In 0.0000 0.6673 0.6673
In3 In 0.3312 0.3312 0.6624
In4 In 0.3312 0.6688 0.0000
In5 In 0.3327 0.0000 0.3327
In6 In 0.6673 0.0000 0.6673
In7 In 0.6688 0.3312 0.0000
In8 In 0.6688 0.6688 0.3376
Bi1 Bi 0.0000 0.0000 0.0000
```

> Look up the total DFT energy (no corrections) of the first one.

-3.464 eV per atom

What did the first record say?
# InBi3

InBi3 after structural relaxation (GGA-PBE, Alexandria via LeMat-Bulk).

Values from the calculation:
energy relative to the elements	131	meV/atom
total DFT energy (no corrections)	-3.464	eV per atom

```
data_InBi3
_cell_length_a 5.5868
_cell_length_b 5.5868
_cell_length_c 5.5868
_cell_angle_alpha 60.00
_cell_angle_beta 60.00
_cell_angle_gamma 60.00
_space_group_name_H-M_alt 'P 1'
_space_group_IT_number 1
_space_group_name_Hall 'P 1'
loop_
_atom_site_label
_atom_site_type_symbol
_atom_site_fract_x
_atom_site_fract_y
_atom_site_fract_z
In1 In 0.0000 0.0000 0.0000
Bi1 Bi 0.2500 0.2500 0.2500
Bi2 Bi 0.5000 0.5000 0.5000
Bi3 Bi 0.7500 0.7500 0.7500
```

> What is the energy relative to the elements in the second record?

34 meV/atom